(1)
Density functional theory data (PBE) for crystalline LuPaRu4 at its relaxed geometry.

Geometry as CIF:
```
data_LuPaRu4
_chemical_formula_sum 'Lu1 Pa1 Ru4'
_symmetry_space_group_name_H-M 'P 1'
_symmetry_Int_Tables_number 1
_symmetry_space_group_name_Hall 'P 1'
_cell_length_a 5.311
_cell_length_b 5.311
_cell_length_c 5.311
_cell_angle_alpha 60.00
_cell_angle_beta 60.00
_cell_angle_gamma 60.00
loop_
_atom_site_label
_atom_site_type_symbol
_atom_site_fract_x
_atom_site_fract_y
_atom_site_fract_z
Lu1 Lu 0.000 0.000 0.000
Pa1 Pa 0.250 0.250 0.250
Ru1 Ru 0.124 0.625 0.625
Ru2 Ru 0.625 0.625 0.625
Ru3 Ru 0.625 0.124 0.625
Ru4 Ru 0.625 0.625 0.124
```

Calculated formation energy in eV/f.u.: -1.929

***

(2)
Density functional theory data (PBE) for crystalline LuPaRu2 at its relaxed geometry.

Geometry as CIF:
```
data_LuPaRu2
_chemical_formula_sum 'Lu1 Pa1 Ru2'
_symmetry_space_group_name_H-M 'P 1'
_symmetry_Int_Tables_number 1
_symmetry_space_group_name_Hall 'P 1'
_cell_length_a 3.434
_cell_length_b 3.434
_cell_length_c 6.702
_cell_angle_alpha 90.00
_cell_angle_beta 90.00
_cell_angle_gamma 90.00
loop_
_atom_site_label
_atom_site_type_symbol
_atom_site_fract_x
_atom_site_fract_y
_atom_site_fract_z
Lu1 Lu 0.500 0.500 0.500
Ru1 Ru 0.000 0.000 0.228
Ru2 Ru 0.000 0.000 0.772
Pa1 Pa 0.500 0.500 0.000
```

Calculated formation energy in eV/f.u.: -2.166

***

(3)
Density functional theory data (PBE) for crystalline Lu2PaRu at its relaxed geometry.

Geometry as CIF:
```
data_Lu2PaRu
_chemical_formula_sum 'Lu2 Pa1 Ru1'
_symmetry_space_group_name_H-M 'P 1'
_symmetry_Int_Tables_number 1
_symmetry_space_group_name_Hall 'P 1'
_cell_length_a 3.217
_cell_length_b 3.217
_cell_length_c 10.679
_cell_angle_alpha 81.34
_cell_angle_beta 81.34
_cell_angle_gamma 60.00
loop_
_atom_site_label
_atom_site_type_symbol
_atom_site_fract_x
_atom_site_fract_y
_atom_site_fract_z
Lu1 Lu 0.898 0.898 0.306
Lu2 Lu 0.102 0.102 0.694
Ru1 Ru 0.500 0.500 0.500
Pa1 Pa 0.000 0.000 0.000
```

ΔE to the lowest computed polymorph in eV/f.u.: 1.075
Calculated formation energy in eV/f.u.: 0.440

***

(4)
Density functional theory data (PBE) for crystalline Lu2PaRu at its relaxed geometry.

Geometry as CIF:
```
data_Lu2PaRu
_chemical_formula_sum 'Lu2 Pa1 Ru1'
_symmetry_space_group_name_H-M 'P 1'
_symmetry_Int_Tables_number 1
_symmetry_space_group_name_Hall 'P 1'
_cell_length_a 3.308
_cell_length_b 3.308
_cell_length_c 8.439
_cell_angle_alpha 90.00
_cell_angle_beta 90.00
_cell_angle_gamma 90.00
loop_
_atom_site_label
_atom_site_type_symbol
_atom_site_fract_x
_atom_site_fract_y
_atom_site_fract_z
Lu1 Lu 0.000 0.000 0.193
Ru1 Ru 0.500 0.500 0.000
Pa1 Pa 0.500 0.500 0.500
Lu2 Lu 0.000 0.000 0.807
```

ΔE to the lowest computed polymorph in eV/f.u.: 0.000
Calculated formation energy in eV/f.u.: -0.634

***

(5)
Density functional theory data (PBE) for crystalline LuPaTcRu at its relaxed geometry.

Geometry as CIF:
```
data_LuPaTcRu
_chemical_formula_sum 'Lu1 Pa1 Tc1 Ru1'
_symmetry_space_group_name_H-M 'P 1'
_symmetry_Int_Tables_number 1
_symmetry_space_group_name_Hall 'P 1'
_cell_length_a 4.804
_cell_length_b 4.804
_cell_length_c 4.804
_cell_angle_alpha 60.00
_cell_angle_beta 60.00
_cell_angle_gamma 60.00
loop_
_atom_site_label
_atom_site_type_symbol
_atom_site_fract_x
_atom_site_fract_y
_atom_site_fract_z
Lu1 Lu 0.000 0.000 0.000
Pa1 Pa 0.500 0.500 0.500
Tc1 Tc 0.750 0.750 0.750
Ru1 Ru 0.250 0.250 0.250
```

Calculated formation energy in eV/f.u.: -1.535

***

(6)
Density functional theory data (PBE) for crystalline LuPaZnRu at its relaxed geometry.

Geometry as CIF:
```
data_LuPaZnRu
_chemical_formula_sum 'Lu1 Pa1 Zn1 Ru1'
_symmetry_space_group_name_H-M 'P 1'
_symmetry_Int_Tables_number 1
_symmetry_space_group_name_Hall 'P 1'
_cell_length_a 4.877
_cell_length_b 4.877
_cell_length_c 4.877
_cell_angle_alpha 60.00
_cell_angle_beta 60.00
_cell_angle_gamma 60.00
loop_
_atom_site_label
_atom_site_type_symbol
_atom_site_fract_x
_atom_site_fract_y
_atom_site_fract_z
Zn1 Zn 0.250 0.250 0.250
Lu1 Lu 0.000 0.000 0.000
Pa1 Pa 0.500 0.500 0.500
Ru1 Ru 0.750 0.750 0.750
```

Calculated formation energy in eV/f.u.: -0.988

***

(7)
Density functional theory data (PBE) for crystalline Lu2PaS at its relaxed geometry.

Geometry as CIF:
```
data_Lu2PaS
_chemical_formula_sum 'Lu2 Pa1 S1'
_symmetry_space_group_name_H-M 'P 1'
_symmetry_Int_Tables_number 1
_symmetry_space_group_name_Hall 'P 1'
_cell_length_a 3.405
_cell_length_b 3.405
_cell_length_c 10.122
_cell_angle_alpha 80.32
_cell_angle_beta 80.32
_cell_angle_gamma 60.00
loop_
_atom_site_label
_atom_site_type_symbol
_atom_site_fract_x
_atom_site_fract_y
_atom_site_fract_z
S1 S 0.500 0.500 0.500
Lu1 Lu 0.108 0.108 0.675
Pa1 Pa 0.000 0.000 0.000
Lu2 Lu 0.892 0.892 0.325
```

Energy relative to the elements, uncorrected in eV per atom: -0.497

***

(8)
Density functional theory data (PBE) for crystalline LuPaS2 at its relaxed geometry.

Geometry as CIF:
```
data_LuPaS2
_chemical_formula_sum 'Lu1 Pa1 S2'
_symmetry_space_group_name_H-M 'P 1'
_symmetry_Int_Tables_number 1
_symmetry_space_group_name_Hall 'P 1'
_cell_length_a 3.723
_cell_length_b 3.723
_cell_length_c 8.747
_cell_angle_alpha 77.71
_cell_angle_beta 77.71
_cell_angle_gamma 60.00
loop_
_atom_site_label
_atom_site_type_symbol
_atom_site_fract_x
_atom_site_fract_y
_atom_site_fract_z
Lu1 Lu 0.500 0.500 0.500
Pa1 Pa 0.000 0.000 0.000
S1 S 0.106 0.106 0.681
S2 S 0.894 0.894 0.319
```

Energy relative to the elements, uncorrected in eV per atom: -1.202